No. 1
Cd2TcHg | Alexandria via LeMat-Bulk | PBE | optimized geometry; formation energy = 478 meV per atom; spin magnetization = 1.66 μB per cell; raw total energy = -2.647 eV per atom; crystal system = tetragonal; ρ = 11.15 g cm⁻³
1.0
-3.029 1.261 4.185
1.592 -2.472 4.431
2.525 2.883 -3.686
Tc Cd Hg
1 2 1
direct
0.750 0.250 0.500
0.250 0.750 0.500
0.000 0.000 0.000
0.500 0.500 0.000

---

No. 2
ZrBrCl | Alexandria via LeMat-Bulk | PBE | optimized geometry; spin magnetization = 2.01 μB per cell; raw total energy = -4.094 eV per atom; crystal system = cubic; ρ = 4.51 g cm⁻³
1.0
-2.570 3.336 2.211
-1.849 -0.879 4.293
1.751 2.195 3.838
Br Zr Cl
1 1 1
direct
0.500 0.500 0.500
0.000 0.000 0.000
0.750 0.750 0.750

---

No. 3
PmAg2Pd | Alexandria via LeMat-Bulk | PBE | optimized geometry; formation energy = -295 meV per atom; spin magnetization = 0.00 μB per cell; raw total energy = -4.207 eV per atom; E above lowest polymorph = 114 meV/atom; crystal system = tetragonal; ρ = 9.30 g cm⁻³
1.0
-1.529 4.276 2.018
-2.757 -2.043 2.239
2.756 -0.431 3.001
Pd Ag Pm
1 2 1
direct
0.500 0.000 0.000
0.000 0.500 0.000
0.000 0.000 0.500
0.500 0.500 0.500

---

No. 4
KPr3Os | Alexandria via LeMat-Bulk | PBE | optimized geometry; formation energy = 172 meV per atom; spin magnetization = 0.00 μB per cell; raw total energy = -5.161 eV per atom; crystal system = cubic; ρ = 5.65 g cm⁻³
1.0
-0.649 5.728 0.038
-1.906 -0.252 5.434
5.401 0.599 1.922
Pr K Os
3 1 1
direct
0.000 0.000 0.500
0.500 0.000 0.000
0.000 0.500 0.000
0.500 0.500 0.500
0.000 0.000 0.000

---

No. 5
KInW3 | Alexandria via LeMat-Bulk | PBE | optimized geometry; formation energy = 3497 meV per atom; spin magnetization = 0.00 μB per cell; raw total energy = -5.042 eV per atom; E above lowest polymorph = 480 meV/atom; crystal system = cubic; ρ = 11.94 g cm⁻³
1.0
-1.981 1.743 3.783
-4.130 -1.362 -1.535
0.537 -4.047 2.146
In W K
1 3 1
direct
0.500 0.500 0.500
0.000 0.500 0.000
0.500 0.000 0.000
0.000 0.000 0.500
0.000 0.000 0.000

---

No. 6
GePt2Pb2 | Alexandria via LeMat-Bulk | PBE | optimized geometry; formation energy = 108 meV per atom; spin magnetization = 0.00 μB per cell; raw total energy = -4.715 eV per atom; E above lowest polymorph = 174 meV/atom; crystal system = tetragonal; ρ = 12.39 g cm⁻³
1.0
-1.694 -1.191 -3.215
-2.297 -2.269 2.050
-7.346 4.237 0.026
Pb Pt Ge
2 2 1
direct
0.386 0.386 0.227
0.614 0.614 0.773
0.250 0.750 0.500
0.750 0.250 0.500
0.000 0.000 0.000

---

No. 7
NaTbGdTl | Alexandria via LeMat-Bulk | PBE | optimized geometry; formation energy = -75 meV per atom; spin magnetization = 7.86 μB per cell; raw total energy = -5.674 eV per atom; crystal system = cubic; ρ = 7.96 g cm⁻³
1.0
-0.545 5.016 2.015
-4.764 1.594 2.070
-0.525 0.733 5.358
Tb Tl Na Gd
1 1 1 1
direct
0.750 0.750 0.750
0.500 0.500 0.500
0.000 0.000 0.000
0.250 0.250 0.250

---

No. 8
AcTm2Zn9 | Alexandria via LeMat-Bulk | PBE | optimized geometry; formation energy = -300 meV per atom; spin magnetization = 0.00 μB per cell; raw total energy = -2.343 eV per atom; crystal system = trigonal; ρ = 8.35 g cm⁻³
1.0
5.318 0.000 1.583
2.424 4.734 1.583
0.163 0.100 9.178
Zn Tm Ac
9 2 1
direct
0.336 0.336 0.993
0.590 0.076 0.745
0.076 0.590 0.745
0.410 0.410 0.255
0.590 0.590 0.745
0.410 0.924 0.255
0.924 0.410 0.255
0.500 0.500 0.500
0.664 0.664 0.007
0.856 0.856 0.433
0.144 0.144 0.567
0.000 0.000 0.000

---

Q: Which formula does entry 5 have?
A: KInW3